First-principles (PBE) data for Rb6NpF12 after structural relaxation, as listed in Alexandria. Values from VASP.

Geometry as Quantum ESPRESSO input:
```
&SYSTEM
  ibrav = 0, nat = 19, ntyp = 3
/
ATOMIC_SPECIES
Rb 85.47 Rb.upf
Np 237.00 Np.upf
F 19.00 F.upf
CELL_PARAMETERS angstrom
7.028 4.058 2.471
-7.028 4.058 2.471
0.000 -8.116 2.471
ATOMIC_POSITIONS crystal
Rb 0.211 0.293 0.726
Rb 0.274 0.789 0.707
Rb 0.293 0.726 0.211
Rb 0.707 0.274 0.789
Rb 0.726 0.211 0.293
Rb 0.789 0.707 0.274
Np 0.000 0.000 0.000
F 0.012 0.500 0.743
F 0.045 0.152 0.283
F 0.152 0.283 0.045
F 0.257 0.988 0.500
F 0.283 0.045 0.152
F 0.500 0.257 0.988
F 0.500 0.743 0.012
F 0.717 0.955 0.848
F 0.743 0.012 0.500
F 0.848 0.717 0.955
F 0.955 0.848 0.717
F 0.988 0.500 0.257
```

=====

First-principles (PBE) data for Rb4NpF10 after structural relaxation, as listed in Alexandria. Values from VASP.

Geometry as Quantum ESPRESSO input:
```
&SYSTEM
  ibrav = 0, nat = 15, ntyp = 3
/
ATOMIC_SPECIES
Rb 85.47 Rb.upf
Np 237.00 Np.upf
F 19.00 F.upf
CELL_PARAMETERS angstrom
-4.983 4.983 3.200
4.983 -4.983 3.200
4.983 4.983 -3.200
ATOMIC_POSITIONS crystal
Rb 0.094 0.692 0.786
Rb 0.308 0.094 0.401
Rb 0.692 0.906 0.599
Rb 0.906 0.308 0.214
Np 0.500 0.500 0.000
F 0.153 0.393 0.935
F 0.218 0.153 0.760
F 0.250 0.750 0.500
F 0.393 0.458 0.240
F 0.458 0.218 0.065
F 0.542 0.782 0.935
F 0.607 0.542 0.760
F 0.750 0.250 0.500
F 0.782 0.847 0.240
F 0.847 0.607 0.065
```

=====

First-principles (PBE) data for Rb2NpF4 after structural relaxation, as listed in Alexandria. Values from VASP.

Geometry as Quantum ESPRESSO input:
```
&SYSTEM
  ibrav = 0, nat = 7, ntyp = 3
/
ATOMIC_SPECIES
Rb 85.47 Rb.upf
Np 237.00 Np.upf
F 19.00 F.upf
CELL_PARAMETERS angstrom
-2.393 2.393 7.602
2.393 -2.393 7.602
2.393 2.393 -7.602
ATOMIC_POSITIONS crystal
Rb 0.162 0.162 0.000
Rb 0.838 0.838 0.000
Np 0.500 0.500 0.000
F 0.000 0.500 0.500
F 0.347 0.347 0.000
F 0.500 0.000 0.500
F 0.653 0.653 0.000
```

=====

First-principles (PBE) data for RbNpF4 after structural relaxation, as listed in Alexandria. Values from VASP.

Geometry as Quantum ESPRESSO input:
```
&SYSTEM
  ibrav = 0, nat = 12, ntyp = 3
/
ATOMIC_SPECIES
Rb 85.47 Rb.upf
Np 237.00 Np.upf
F 19.00 F.upf
CELL_PARAMETERS angstrom
4.307 -5.839 0.000
4.307 5.839 0.000
-3.551 0.000 4.991
ATOMIC_POSITIONS crystal
Rb 0.143 0.857 0.750
Rb 0.857 0.143 0.250
Np 0.470 0.530 0.250
Np 0.530 0.470 0.750
F 0.198 0.299 0.786
F 0.260 0.558 0.454
F 0.299 0.198 0.286
F 0.442 0.740 0.046
F 0.558 0.260 0.954
F 0.701 0.802 0.714
F 0.740 0.442 0.546
F 0.802 0.701 0.214
```

=====

Values for volume, Å³/f.u., ordered as above
423, 318, 174, 126
Values for density of states at the Fermi level, states/eV/f.u., ordered as above
20.8, 10.8, 7.4, 4.7
Values for energy relative to the elements, uncorrected, kcal/mol of atoms, ordered as above
-63.7, -67.0, -61.3, -72.3